The following is a PBE calculation of crystalline LaCuSn at its relaxed geometry, from the Alexandria database.

DOS at the Fermi energy = 5.3 states/eV/cell
space-group type = Ama2
total magnetic moment = 0.000 μB per atom
energy = -4.812 eV per atom

a = 6.8601 Å, b = 6.7371 Å, c = 6.7372 Å
α = 90.00°, β = 90.00°, γ = 90.00°
Atoms (fractional coordinates):
La: 0.2500 0.2497 0.0000
La: 0.2500 0.7497 0.5000
La: 0.7500 0.2503 0.5000
La: 0.7500 0.7503 0.0000
Cu: 0.0000 0.0000 0.2508
Cu: 0.0000 0.5000 0.7508
Cu: 0.5000 0.0000 0.2508
Cu: 0.5000 0.5000 0.7508
Sn: 0.2500 0.2500 0.4999
Sn: 0.2500 0.7500 0.9999
Sn: 0.7500 0.2500 0.9999
Sn: 0.7500 0.7500 0.4999

***

The following is a PBE calculation of crystalline RbPbS3 at its relaxed geometry, from the Alexandria database.

DOS at the Fermi energy = 5.2 states/eV/cell
space-group type = Pm-3m
total magnetic moment = 0.000 μB per atom
energy = -3.522 eV per atom
raw formation energy = -0.6 eV per formula unit

a = 5.3120 Å, b = 5.3120 Å, c = 5.3120 Å
α = 90.00°, β = 90.00°, γ = 90.00°
Atoms (fractional coordinates):
Rb: 0.0000 0.0000 0.0000
Pb: 0.5000 0.5000 0.5000
S: 0.0000 0.5000 0.5000
S: 0.5000 0.0000 0.5000
S: 0.5000 0.5000 0.0000

***

The following is a PBE calculation of crystalline La4TmTh3 at its relaxed geometry, from the Alexandria database.

DOS at the Fermi energy = 24.6 states/eV/cell
space-group type = Pmmn
total magnetic moment = 0.000 μB per atom
energy = -5.780 eV per atom

a = 5.0933 Å, b = 10.2290 Å, c = 10.4444 Å
α = 90.00°, β = 90.00°, γ = 90.00°
Atoms (fractional coordinates):
La: 0.2500 0.0006 0.1397
La: 0.2500 0.2500 0.8575
La: 0.2500 0.4994 0.1397
La: 0.2500 0.7500 0.8652
La: 0.7500 0.2500 0.1348
La: 0.7500 0.5006 0.8603
La: 0.7500 0.7500 0.1425
La: 0.7500 0.9994 0.8603
Tm: 0.2500 0.2500 0.3869
Tm: 0.7500 0.7500 0.6131
Th: 0.2500 0.0018 0.6151
Th: 0.2500 0.4982 0.6151
Th: 0.2500 0.7500 0.3831
Th: 0.7500 0.2500 0.6169
Th: 0.7500 0.5018 0.3849
Th: 0.7500 0.9982 0.3849

***

The following is a PBE calculation of crystalline LaBeSiPt6 at its relaxed geometry, from the Alexandria database.

DOS at the Fermi energy = 4.6 states/eV/cell
space-group type = Imma
total magnetic moment = 0.000 μB per atom
energy = -6.192 eV per atom
raw formation energy = -5.4 eV per formula unit

a = 7.8595 Å, b = 7.8595 Å, c = 7.8595 Å
α = 120.63°, β = 119.69°, γ = 89.72°
Atoms (fractional coordinates):
La: 0.3557 0.1057 0.2500
La: 0.6443 0.8943 0.7500
Be: 0.0000 0.0000 0.5000
Be: 0.0000 0.5000 0.0000
Si: 0.0000 0.5000 0.5000
Si: 0.5000 0.5000 0.0000
Pt: 0.1009 0.8509 0.2500
Pt: 0.1106 0.3906 0.2438
Pt: 0.1106 0.8669 0.7200
Pt: 0.3532 0.1331 0.7438
Pt: 0.3532 0.6094 0.2200
Pt: 0.3676 0.6176 0.7500
Pt: 0.6324 0.3824 0.2500
Pt: 0.6468 0.3906 0.7800
Pt: 0.6468 0.8669 0.2562
Pt: 0.8894 0.1331 0.2800
Pt: 0.8894 0.6094 0.7562
Pt: 0.8991 0.1491 0.7500

***

The following is a PBE calculation of crystalline Ba2BeHgAu6 at its relaxed geometry, from the Alexandria database.

DOS at the Fermi energy = 4.4 states/eV/cell
space-group type = P-1
total magnetic moment = 0.000 μB per atom
energy = -3.215 eV per atom

a = 6.6570 Å, b = 6.6621 Å, c = 7.5143 Å
α = 63.93°, β = 63.80°, γ = 60.11°
Atoms (fractional coordinates):
Ba: 0.2204 0.2233 0.3357
Ba: 0.7796 0.7767 0.6643
Be: 0.0000 0.0000 0.0000
Hg: 0.5000 0.5000 0.5000
Au: 0.2364 0.2334 0.8416
Au: 0.2364 0.6849 0.8452
Au: 0.3098 0.7682 0.1600
Au: 0.6902 0.2318 0.8400
Au: 0.7636 0.3151 0.1548
Au: 0.7636 0.7666 0.1584

***

The following is a PBE calculation of crystalline NaEuPdPb at its relaxed geometry, from the Alexandria database.

DOS at the Fermi energy = 57.6 states/eV/cell
space-group type = F-43m
total magnetic moment = 1.734 μB per atom
energy = -5.484 eV per atom

a = 7.2473 Å, b = 7.2473 Å, c = 7.2473 Å
α = 90.00°, β = 90.00°, γ = 90.00°
Atoms (fractional coordinates):
Na: 0.0000 0.0000 0.0000
Na: 0.0000 0.5000 0.5000
Na: 0.5000 0.0000 0.5000
Na: 0.5000 0.5000 0.0000
Eu: 0.2500 0.2500 0.7500
Eu: 0.2500 0.7500 0.2500
Eu: 0.7500 0.2500 0.2500
Eu: 0.7500 0.7500 0.7500
Pd: 0.0000 0.0000 0.5000
Pd: 0.0000 0.5000 0.0000
Pd: 0.5000 0.0000 0.0000
Pd: 0.5000 0.5000 0.5000
Pb: 0.2500 0.2500 0.2500
Pb: 0.2500 0.7500 0.7500
Pb: 0.7500 0.2500 0.7500
Pb: 0.7500 0.7500 0.2500

***

The following is a PBE calculation of crystalline ZrS2I at its relaxed geometry, from the Alexandria database.

DOS at the Fermi energy = 18.6 states/eV/cell
space-group type = I-42d
total magnetic moment = 0.250 μB per atom
energy = -5.209 eV per atom
raw formation energy = -2.5 eV per formula unit

a = 7.3309 Å, b = 7.3309 Å, c = 10.6335 Å
α = 90.00°, β = 90.00°, γ = 90.00°
Atoms (fractional coordinates):
Zr: 0.0000 0.0000 0.0000
Zr: 0.0000 0.5000 0.2500
Zr: 0.5000 0.0000 0.7500
Zr: 0.5000 0.5000 0.5000
S: 0.1164 0.2500 0.1250
S: 0.2500 0.6164 0.3750
S: 0.2500 0.8836 0.8750
S: 0.3836 0.2500 0.6250
S: 0.6164 0.7500 0.6250
S: 0.7500 0.1164 0.8750
S: 0.7500 0.3836 0.3750
S: 0.8836 0.7500 0.1250
I: 0.0000 0.0000 0.5000
I: 0.0000 0.5000 0.7500
I: 0.5000 0.0000 0.2500
I: 0.5000 0.5000 0.0000

***

The following is a PBE calculation of crystalline LaCd4Hg at its relaxed geometry, from the Alexandria database.

DOS at the Fermi energy = 3.1 states/eV/cell
space-group type = P1
total magnetic moment = 0.000 μB per atom
energy = -1.725 eV per atom

a = 5.0821 Å, b = 5.1792 Å, c = 6.7214 Å
α = 97.42°, β = 90.19°, γ = 119.35°
Atoms (fractional coordinates):
La: 0.0000 0.0000 0.0000
Cd: 0.3100 0.6225 0.7409
Cd: 0.3617 0.7217 0.2585
Cd: 0.6385 0.2786 0.7411
Cd: 0.6898 0.3774 0.2582
Hg: 0.9997 0.9990 0.5002

***

The following is a PBE calculation of crystalline Y2Ho8Zr at its relaxed geometry, from the Alexandria database.

DOS at the Fermi energy = 14.5 states/eV/cell
space-group type = C2/m
total magnetic moment = 0.000 μB per atom
energy = -5.238 eV per atom

a = 9.2573 Å, b = 9.2573 Å, c = 7.8399 Å
α = 104.76°, β = 104.76°, γ = 30.91°
Atoms (fractional coordinates):
Y: 0.2260 0.2260 0.1352
Y: 0.7740 0.7740 0.8648
Ho: 0.0437 0.0437 0.2363
Ho: 0.1314 0.1314 0.6735
Ho: 0.3217 0.3217 0.5903
Ho: 0.4114 0.4114 0.0565
Ho: 0.5886 0.5886 0.9435
Ho: 0.6783 0.6783 0.4097
Ho: 0.8686 0.8686 0.3265
Ho: 0.9563 0.9563 0.7637
Zr: 0.5000 0.5000 0.5000

***

The following is a PBE calculation of crystalline Ac2PuThN5 at its relaxed geometry, from the Alexandria database.

DOS at the Fermi energy = 13.0 states/eV/cell
space-group type = I4/mcm
total magnetic moment = 0.333 μB per atom
energy = -8.704 eV per atom
raw formation energy = -6.7 eV per formula unit

a = 8.0270 Å, b = 8.0270 Å, c = 8.0270 Å
α = 127.87°, β = 127.87°, γ = 76.84°
Atoms (fractional coordinates):
Ac: 0.1752 0.6752 0.8505
Ac: 0.3248 0.1752 0.5000
Ac: 0.6752 0.8248 0.5000
Ac: 0.8248 0.3248 0.1495
Pu: 0.2500 0.7500 0.5000
Pu: 0.7500 0.2500 0.5000
Th: 0.2500 0.2500 0.0000
Th: 0.7500 0.7500 0.0000
N: 0.0000 0.0000 0.0000
N: 0.0174 0.1676 0.5000
N: 0.1676 0.6676 0.1502
N: 0.3324 0.4826 0.5000
N: 0.4826 0.9826 0.1502
N: 0.5000 0.5000 0.0000
N: 0.5174 0.0174 0.8498
N: 0.6676 0.5174 0.5000
N: 0.8324 0.3324 0.8498
N: 0.9826 0.8324 0.5000

***

The following is a PBE calculation of crystalline La2NpSb4Rh3 at its relaxed geometry, from the Alexandria database.

DOS at the Fermi energy = 11.0 states/eV/cell
space-group type = P-4m2
total magnetic moment = 0.389 μB per atom
energy = -6.799 eV per atom
raw formation energy = -6.6 eV per formula unit

a = 4.5358 Å, b = 4.5358 Å, c = 11.8760 Å
α = 90.00°, β = 90.00°, γ = 90.00°
Atoms (fractional coordinates):
La: 0.0000 0.5000 0.2256
La: 0.5000 0.0000 0.7744
Np: 0.0000 0.0000 0.5000
Sb: 0.0000 0.0000 0.0000
Sb: 0.0000 0.5000 0.6665
Sb: 0.5000 0.0000 0.3335
Sb: 0.5000 0.5000 0.0000
Rh: 0.0000 0.5000 0.8870
Rh: 0.5000 0.0000 0.1130
Rh: 0.5000 0.5000 0.5000

***

The following is a PBE calculation of crystalline AlSiOsRu at its relaxed geometry, from the Alexandria database.

DOS at the Fermi energy = 2.5 states/eV/cell
space-group type = Pmmm
total magnetic moment = 0.000 μB per atom
energy = -7.963 eV per atom
raw formation energy = -2.2 eV per formula unit

a = 2.9815 Å, b = 4.1693 Å, c = 4.2116 Å
α = 90.00°, β = 90.00°, γ = 90.00°
Atoms (fractional coordinates):
Al: 0.0000 0.0000 0.0000
Si: 0.0000 0.5000 0.5000
Os: 0.5000 0.0000 0.5000
Ru: 0.5000 0.5000 0.0000

***

The following is a PBE calculation of crystalline AcThIrCl at its relaxed geometry, from the Alexandria database.

DOS at the Fermi energy = 8.9 states/eV/cell
space-group type = R3m
total magnetic moment = 0.000 μB per atom
energy = -6.755 eV per atom
raw formation energy = -4.8 eV per formula unit

a = 4.2509 Å, b = 4.2509 Å, c = 23.8633 Å
α = 90.00°, β = 90.00°, γ = 120.00°
Atoms (fractional coordinates):
Ac: 0.0000 0.0000 0.0000
Ac: 0.3333 0.6667 0.6667
Ac: 0.6667 0.3333 0.3333
Th: 0.0000 0.0000 0.2030
Th: 0.3333 0.6667 0.8696
Th: 0.6667 0.3333 0.5363
Ir: 0.0000 0.0000 0.5931
Ir: 0.3333 0.6667 0.2597
Ir: 0.6667 0.3333 0.9264
Cl: 0.0000 0.0000 0.7725
Cl: 0.3333 0.6667 0.4391
Cl: 0.6667 0.3333 0.1058

***

The following is a PBE calculation of crystalline FeCoRu at its relaxed geometry, from the Alexandria database.

DOS at the Fermi energy = 8.2 states/eV/cell
space-group type = Pmmn
total magnetic moment = 0.161 μB per atom
energy = -8.156 eV per atom

a = 2.6220 Å, b = 3.5679 Å, c = 7.7130 Å
α = 90.00°, β = 90.00°, γ = 90.00°
Atoms (fractional coordinates):
Fe: 0.2500 0.2500 0.0834
Fe: 0.7500 0.7500 0.9166
Co: 0.2500 0.2500 0.4224
Co: 0.7500 0.7500 0.5776
Ru: 0.2500 0.2500 0.7500
Ru: 0.7500 0.7500 0.2500

***

The following is a PBE calculation of crystalline Na2LiSeBr at its relaxed geometry, from the Alexandria database.

DOS at the Fermi energy = 0.0 states/eV/cell
space-group type = P4/mmm
total magnetic moment = 0.000 μB per atom
energy = -3.103 eV per atom
raw formation energy = -5.8 eV per formula unit

a = 5.5204 Å, b = 5.5204 Å, c = 4.7432 Å
α = 90.00°, β = 90.00°, γ = 90.00°
Atoms (fractional coordinates):
Na: 0.0000 0.5000 0.0000
Na: 0.5000 0.0000 0.0000
Li: 0.0000 0.0000 0.5000
Se: 0.0000 0.0000 0.0000
Br: 0.5000 0.5000 0.5000

***

The following is a PBE calculation of crystalline ErScTlS at its relaxed geometry, from the Alexandria database.

DOS at the Fermi energy = 4.8 states/eV/cell
space-group type = Cm
total magnetic moment = 0.000 μB per atom
energy = -5.437 eV per atom
raw formation energy = -4.4 eV per formula unit

a = 6.3556 Å, b = 3.6702 Å, c = 8.1800 Å
α = 90.00°, β = 104.94°, γ = 90.00°
Atoms (fractional coordinates):
Er: 0.0000 0.0000 0.0000
Er: 0.5000 0.5000 0.0000
Sc: 0.2045 0.0000 0.6125
Sc: 0.7045 0.5000 0.6125
Tl: 0.4377 0.0000 0.3136
Tl: 0.9377 0.5000 0.3136
S: 0.0986 0.5000 0.7951
S: 0.5986 0.0000 0.7951

***

The following is a PBE calculation of crystalline Ba2SiMo at its relaxed geometry, from the Alexandria database.

DOS at the Fermi energy = 13.4 states/eV/cell
space-group type = R-3m
total magnetic moment = 0.823 μB per atom
energy = -3.982 eV per atom
raw formation energy = 4.2 eV per formula unit

a = 3.9269 Å, b = 3.9269 Å, c = 29.9386 Å
α = 90.00°, β = 90.00°, γ = 120.00°
Atoms (fractional coordinates):
Ba: 0.0000 0.0000 0.2479
Ba: 0.0000 0.0000 0.7521
Ba: 0.3333 0.6667 0.4188
Ba: 0.3333 0.6667 0.9145
Ba: 0.6667 0.3333 0.0855
Ba: 0.6667 0.3333 0.5812
Si: 0.0000 0.0000 0.5000
Si: 0.3333 0.6667 0.1667
Si: 0.6667 0.3333 0.8333
Mo: 0.0000 0.0000 0.0000
Mo: 0.3333 0.6667 0.6667
Mo: 0.6667 0.3333 0.3333

***

The following is a PBE calculation of crystalline Cs2Rb4Na3 at its relaxed geometry, from the Alexandria database.

DOS at the Fermi energy = 15.5 states/eV/cell
space-group type = Cmce
total magnetic moment = 0.000 μB per atom
energy = -1.017 eV per atom

a = 12.6475 Å, b = 12.6475 Å, c = 12.9224 Å
α = 90.00°, β = 90.00°, γ = 137.63°
Atoms (fractional coordinates):
Cs: 0.1077 0.8923 0.8928
Cs: 0.3923 0.6077 0.3928
Cs: 0.6077 0.3923 0.6072
Cs: 0.8923 0.1077 0.1072
Rb: 0.1829 0.3171 0.7500
Rb: 0.1872 0.8128 0.5145
Rb: 0.3128 0.6872 0.0145
Rb: 0.3171 0.1829 0.2500
Rb: 0.6829 0.8171 0.7500
Rb: 0.6872 0.3128 0.9855
Rb: 0.8128 0.1872 0.4855
Rb: 0.8171 0.6829 0.2500
Na: 0.0000 0.0000 0.5000
Na: 0.0104 0.4896 0.7500
Na: 0.4896 0.0104 0.2500
Na: 0.5000 0.5000 0.0000
Na: 0.5104 0.9896 0.7500
Na: 0.9896 0.5104 0.2500

***

The following is a PBE calculation of crystalline KCeHg2 at its relaxed geometry, from the Alexandria database.

DOS at the Fermi energy = 22.5 states/eV/cell
space-group type = R-3m
total magnetic moment = 0.248 μB per atom
energy = -1.997 eV per atom

a = 3.9351 Å, b = 3.9351 Å, c = 30.2356 Å
α = 90.00°, β = 90.00°, γ = 120.00°
Atoms (fractional coordinates):
K: 0.0000 0.0000 0.0000
K: 0.3333 0.6667 0.6667
K: 0.6667 0.3333 0.3333
Ce: 0.0000 0.0000 0.5000
Ce: 0.3333 0.6667 0.1667
Ce: 0.6667 0.3333 0.8333
Hg: 0.0000 0.0000 0.2419
Hg: 0.0000 0.0000 0.7581
Hg: 0.3333 0.6667 0.4248
Hg: 0.3333 0.6667 0.9085
Hg: 0.6667 0.3333 0.0915
Hg: 0.6667 0.3333 0.5752

***

The following is a PBE calculation of crystalline ZnNi2H at its relaxed geometry, from the Alexandria database.

DOS at the Fermi energy = 8.3 states/eV/cell
space-group type = R3m
total magnetic moment = 0.000 μB per atom
energy = -4.169 eV per atom

a = 2.6365 Å, b = 2.6365 Å, c = 18.5298 Å
α = 90.00°, β = 90.00°, γ = 120.00°
Atoms (fractional coordinates):
Zn: 0.0000 0.0000 0.0000
Zn: 0.3333 0.6667 0.6667
Zn: 0.6667 0.3333 0.3333
Ni: 0.0000 0.0000 0.5568
Ni: 0.0000 0.0000 0.7765
Ni: 0.3333 0.6667 0.2235
Ni: 0.3333 0.6667 0.4431
Ni: 0.6667 0.3333 0.1098
Ni: 0.6667 0.3333 0.8901
H: 0.0000 0.0000 0.1670
H: 0.3333 0.6667 0.8336
H: 0.6667 0.3333 0.5003